Record 1
Compound: Tb5Pa3N8
Source: the Alexandria database
Functional: PBE
Structure: relaxed

Calculated values
The symmetry is No. 166. The value obtained for the energy relative to the elements, uncorrected is -1671 meV/atom.

Lattice parameters (Å, degrees): 6.993 6.993 6.993 60.07 60.07 60.07
Fractional positions:
1 Tb 0.000 0.000 0.000
2 Tb 0.000 0.500 0.500
3 Tb 0.500 0.000 0.500
4 Tb 0.500 0.500 0.000
5 Tb 0.500 0.500 0.500
6 Pa 0.000 0.000 0.500
7 Pa 0.000 0.500 0.000
8 Pa 0.500 0.000 0.000
9 N 0.235 0.750 0.750
10 N 0.246 0.246 0.246
11 N 0.250 0.250 0.765
12 N 0.250 0.765 0.250
13 N 0.750 0.235 0.750
14 N 0.750 0.750 0.235
15 N 0.754 0.754 0.754
16 N 0.765 0.250 0.250

***

Record 2
Compound: SrGaAgW2
Source: the Alexandria database
Functional: PBE
Structure: relaxed

Calculated values
The symmetry is No. 123. The value obtained for the formation energy is 2.069 eV/atom.

Lattice parameters (Å, degrees): 4.923 4.923 5.568 90.00 90.00 90.00
Fractional positions:
1 Sr 0.000 0.000 0.000
2 Ga 0.500 0.500 0.000
3 Ag 0.000 0.000 0.500
4 W 0.000 0.500 0.500
5 W 0.500 0.000 0.500

***

Record 3
Compound: RbHO2
Source: the Alexandria database
Functional: PBE
Structure: relaxed

Calculated values
Its energy relative to the lowest polymorph listed for this composition is 534 meV/atom. The symmetry is No. 166.

Lattice parameters (Å, degrees): 5.863 5.863 5.863 38.46 38.46 38.46
Fractional positions:
1 Rb 0.000 0.000 0.000
2 H 0.500 0.500 0.500
3 O 0.429 0.429 0.429
4 O 0.571 0.571 0.571

***

Record 4
Compound: Pa2TcBr
Source: the Alexandria database
Functional: PBE
Structure: relaxed

Calculated values
Its energy relative to the lowest polymorph listed for this composition is 0 meV/atom. The symmetry is No. 123. The value obtained for the energy relative to the elements, uncorrected is -391 meV/atom.

Lattice parameters (Å, degrees): 3.286 3.286 8.157 90.00 90.00 90.00
Fractional positions:
1 Pa 0.000 0.000 0.223
2 Pa 0.000 0.000 0.777
3 Tc 0.500 0.500 0.000
4 Br 0.500 0.500 0.500

***

Record 5
Compound: Y2Hg2Rh
Source: the Alexandria database
Functional: PBE
Structure: relaxed

Calculated values
The symmetry is No. 127. The value obtained for the formation energy is -0.327 eV/atom.

Lattice parameters (Å, degrees): 7.487 7.487 4.245 90.00 90.00 90.00
Fractional positions:
1 Y 0.173 0.327 0.000
2 Y 0.327 0.827 0.000
3 Y 0.673 0.173 0.000
4 Y 0.827 0.673 0.000
5 Hg 0.136 0.636 0.500
6 Hg 0.364 0.136 0.500
7 Hg 0.636 0.864 0.500
8 Hg 0.864 0.364 0.500
9 Rh 0.000 0.000 0.500
10 Rh 0.500 0.500 0.500

***

Number 1: total moment 0.000 μB/atom. Number 2: total moment 0.000 μB/atom. Number 3: total moment 0.500 μB/atom. Number 4: total moment 0.000 μB/atom. Number 5: total moment 0.000 μB/atom.